1.
Entry from Alexandria: a relaxed LaSc2Al crystal (PBE-GGA).

## Properties
- electronic total energy (eV per atom) = -5.311
- energy relative to the elements (meV/atom) = 22.5

Geometry as CIF:
```
data_LaSc2Al
_chemical_formula_sum 'La3 Sc6 Al3'
_symmetry_space_group_name_H-M 'R 3 m'
_symmetry_Int_Tables_number 160
_symmetry_space_group_name_Hall 'R 3 -2"'
_cell_length_a 3.3452
_cell_length_b 3.3452
_cell_length_c 31.9668
_cell_angle_alpha 90.00
_cell_angle_beta 90.00
_cell_angle_gamma 120.00
loop_
_atom_site_label
_atom_site_fract_x
_atom_site_fract_y
_atom_site_fract_z
La1 0.0000 0.0000 0.0000
Sc1 0.0000 0.0000 0.5120
Sc2 0.0000 0.0000 0.7626
Al1 0.0000 0.0000 0.2502
```



2.
Entry from Alexandria: a relaxed ZnGeAu crystal (PBE-GGA).

## Properties
- electronic total energy (eV per atom) = -2.982
- energy relative to the elements (meV/atom) = 74.3

Geometry as CIF:
```
data_ZnGeAu
_chemical_formula_sum 'Zn1 Ge1 Au1'
_symmetry_space_group_name_H-M 'P 3 m 1'
_symmetry_Int_Tables_number 156
_symmetry_space_group_name_Hall 'P 3 -2"'
_cell_length_a 4.6999
_cell_length_b 4.6999
_cell_length_c 2.9709
_cell_angle_alpha 90.00
_cell_angle_beta 90.00
_cell_angle_gamma 120.00
loop_
_atom_site_label
_atom_site_fract_x
_atom_site_fract_y
_atom_site_fract_z
Zn1 0.0000 0.0000 0.0000
Ge1 0.3333 0.6667 0.9639
Au1 0.6667 0.3333 0.9894
```



3.
Entry from Alexandria: a relaxed MnSnIrSe crystal (PBE-GGA).

## Properties
- electronic total energy (eV per atom) = -6.315
- offset from the most stable computed form (eV/atom) = 0.155
- formation energy without anion corrections (eV/atom) = 0.06

Geometry as CIF:
```
data_MnSnIrSe
_chemical_formula_sum 'Mn2 Sn2 Ir2 Se2'
_symmetry_space_group_name_H-M 'C 1 m 1'
_symmetry_Int_Tables_number 8
_symmetry_space_group_name_Hall 'C -2y'
_cell_length_a 8.501
_cell_length_b 3.147
_cell_length_c 6.239
_cell_angle_alpha 90.00
_cell_angle_beta 108.78
_cell_angle_gamma 90.00
loop_
_atom_site_label
_atom_site_fract_x
_atom_site_fract_y
_atom_site_fract_z
Mn1 0.000 0.000 0.000
Sn1 0.112 0.500 0.438
Ir1 0.384 0.000 0.643
Se1 0.279 0.000 0.978
```



- Which of these has the highest electronic total energy?
  ZnGeAu